No. 1
Material: CeDy2As3
Method: DFT, PBE-GGA
State: relaxed

The calculation puts the uncorrected energy at -6.348 eV per atom. As for the space group: No. 71. The value obtained for the density is 7.56 g/cm³. Its energy of formation from the pure elements is -145 kJ/mol of atoms. The value obtained for the volume is 303.2 Å³ per cell. Its total magnetization is 1.21 Bohr magnetons per cell.

Cell lengths 4.1528, 5.8693, 12.4394 Å; angles 90.00, 90.00, 90.00 degrees
Positions (direct):
Ce1 0.0000 0.0000 0.0000
Ce2 0.5000 0.5000 0.5000
Dy1 0.0000 0.0000 0.3336
Dy2 0.0000 0.0000 0.6664
Dy3 0.5000 0.5000 0.1664
Dy4 0.5000 0.5000 0.8336
As1 0.0000 0.5000 0.0000
As2 0.0000 0.5000 0.3318
As3 0.0000 0.5000 0.6682
As4 0.5000 0.0000 0.1682
As5 0.5000 0.0000 0.5000
As6 0.5000 0.0000 0.8318


No. 2
Material: Ca2PrPtO6
Method: DFT, PBE-GGA
State: relaxed

The calculation puts the uncorrected energy at -6.611 eV per atom. As for the space group: No. 14. The value obtained for the density is 6.08 g/cm³. The value obtained for the formation energy (no corrections) is -21.535 eV/f.u. The value obtained for the volume is 279.7 Å³ per cell. Its total magnetization is 1.97 Bohr magnetons per cell.

Cell lengths 5.7157, 5.9497, 9.9290 Å; angles 90.00, 124.08, 90.00 degrees
Positions (direct):
Ca1 0.2306 0.0566 0.2513
Ca2 0.2306 0.4434 0.7513
Ca3 0.7694 0.5566 0.2487
Ca4 0.7694 0.9434 0.7487
Pr1 0.5000 0.0000 0.0000
Pr2 0.5000 0.5000 0.5000
Pt1 0.0000 0.0000 0.5000
Pt2 0.0000 0.5000 0.0000
O1 0.0988 0.2203 0.9267
O2 0.0988 0.2797 0.4267
O3 0.2192 0.6835 0.9375
O4 0.2192 0.8165 0.4375
O5 0.3511 0.0588 0.7251
O6 0.3511 0.4412 0.2251
O7 0.6489 0.5588 0.7749
O8 0.6489 0.9412 0.2749
O9 0.7808 0.1835 0.5625
O10 0.7808 0.3165 0.0625
O11 0.9012 0.7203 0.5733
O12 0.9012 0.7797 0.0733


No. 3
Material: TlAgTe2
Method: DFT, PBE-GGA
State: relaxed

The calculation puts the uncorrected energy at -2.901 eV per atom. As for the space group: No. 123. The value obtained for the density is 8.15 g/cm³. The value obtained for the formation energy (no corrections) is -0.103 eV/f.u. The value obtained for the volume is 115.6 Å³ per cell. Its total magnetization is 0.00 Bohr magnetons per cell.

Cell lengths 4.3533, 4.3533, 6.1007 Å; angles 90.00, 90.00, 90.00 degrees
Positions (direct):
Tl1 0.0000 0.0000 0.0000
Ag1 0.5000 0.5000 0.5000
Te1 0.0000 0.0000 0.5000
Te2 0.5000 0.5000 0.0000